Record 1
Here is an optimized crystal structure of Pm6BiAs3S2 from the Alexandria database. Energies are from PBE.

Structure (extended XYZ):
```
12
Lattice="9.225 -2.120 0.000 9.225 2.120 0.000 -1.952 0.000 8.265" Properties=species:S:1:pos:R:3 pbc="T T T"
Pm -0.479 0.000 2.212
Pm 4.235 0.000 7.545
Pm 5.327 0.000 3.437
Pm 11.171 0.000 4.828
Pm 12.263 0.000 0.720
Pm 16.977 0.000 6.053
Bi 9.225 0.000 0.000
As 1.413 0.000 6.866
As 8.249 0.000 4.132
As 15.085 0.000 1.399
S 2.473 0.000 2.790
S 14.026 0.000 5.475
```

Values from the calculation:
The calculation puts the energy relative to the elements, uncorrected at -1.580 eV per atom. The value obtained for the spin magnetization is 0.00 μB/cell. Its crystal system is monoclinic.

Record 2
Here is an optimized crystal structure of Gd2ErAg from the Alexandria database. Energies are from PBE.

Structure (extended XYZ):
```
12
Lattice="3.424 0.000 0.000 -1.712 2.965 0.000 0.000 0.000 35.005" Properties=species:S:1:pos:R:3 pbc="T T T"
Gd 0.000 0.000 3.002
Gd 0.000 0.000 32.003
Gd 0.000 1.977 20.334
Gd 0.000 1.977 26.339
Gd 1.712 0.988 8.666
Gd 1.712 0.988 14.671
Er 0.000 0.000 17.503
Er 0.000 1.977 5.834
Er 1.712 0.988 29.171
Ag 0.000 0.000 0.000
Ag 0.000 1.977 23.337
Ag 1.712 0.988 11.668
```

Values from the calculation:
As for the formation energy: 0.245 eV per atom. The calculation puts the offset from the most stable computed form at 363 meV per atom. The value obtained for the spin magnetization is 44.75 μB/cell. Its crystal system is trigonal.